(1)
Entry from OQMD: a geometry-optimized SmZn2 structure (GGA-PBE).

Results
Magnetization   0.007 μB per formula unit
DFT formation energy   -0.10 eV per atom

Unit cell a=4.7478 b=10.5270 c=4.9988 alpha=90.00 beta=90.00 gamma=90.00
With the nearest neighbours (Å) after each atom.
Atoms (fractional coordinates):
Sm 0.2500 0.0806 0.1382  7 Zn 2.91-3.12, 2 Sm 3.23
Sm 0.2500 0.4194 0.1382  7 Zn 2.91-3.12, 2 Sm 3.23
Sm 0.7500 0.5806 0.8618  7 Zn 2.91-3.12, 2 Sm 3.23
Sm 0.7500 0.9194 0.8618  7 Zn 2.91-3.12, 2 Sm 3.23
Zn 0.2500 0.2500 0.6450  6 Zn 2.81-2.86, 4 Sm 3.04-3.10
Zn 0.2500 0.6261 0.5383  5 Zn 2.61-2.89, 2 Sm 2.91
Zn 0.2500 0.7500 0.0544  6 Zn 2.75-2.89
Zn 0.2500 0.8739 0.5383  5 Zn 2.61-2.89, 2 Sm 2.91
Zn 0.7500 0.1261 0.4617  5 Zn 2.61-2.89, 2 Sm 2.91
Zn 0.7500 0.2500 0.9456  6 Zn 2.75-2.89
Zn 0.7500 0.3739 0.4617  5 Zn 2.61-2.89, 2 Sm 2.91
Zn 0.7500 0.7500 0.3550  6 Zn 2.81-2.86, 4 Sm 3.04-3.10

---

(2)
Entry from OQMD: a geometry-optimized DyAgAsO structure (GGA-PBE).

Results
Magnetization   0.001 μB per formula unit
Polymorph energy (0 for the lowest one)   353 meV per atom

Unit cell a=4.2769 b=6.2800 c=5.7427 alpha=90.00 beta=90.00 gamma=90.00
With the nearest neighbours (Å) after each atom.
Atoms (fractional coordinates):
Dy 0.0000 0.2473 0.0000  2 O 2.13-2.17
Dy 0.0000 0.7527 0.5000  2 O 2.13-2.17
Ag 0.5000 0.1426 0.4316  2 O 2.36
Ag 0.5000 0.8574 0.9316  2 O 2.36
As 0.5000 0.4707 0.7281  2 Ag 2.67-2.69, 2 As 2.89
As 0.5000 0.5293 0.2281  2 Ag 2.67-2.69, 2 As 2.89
O 0.0000 0.0392 0.3014  2 Dy 2.13-2.17, 2 Ag 2.36
O 0.0000 0.9608 0.8014  2 Dy 2.13-2.17, 2 Ag 2.36

---

(3)
Entry from OQMD: a geometry-optimized RbAlPt structure (GGA-PBE).

Results
Magnetization   0.002 μB per formula unit
Polymorph energy (0 for the lowest one)   0 meV per atom

Unit cell a=4.9058 b=4.9058 c=4.9058 alpha=60.00 beta=60.00 gamma=60.00
With the nearest neighbours (Å) after each atom.
Atoms (fractional coordinates):
Rb 0.0000 0.0000 0.0000  4 Pt 3.00
Al 0.5000 0.5000 0.5000  4 Pt 3.00
Pt 0.7500 0.7500 0.7500  4 Rb 3.00, 4 Al 3.00

---

(4)
Entry from OQMD: a geometry-optimized Co9W4 structure (GGA-PBE).

Results
Magnetization   0.589 μB per formula unit
Polymorph energy (0 for the lowest one)   91 meV per atom
DFT formation energy   0.11 eV per atom

Unit cell a=8.8149 b=8.8149 c=8.8149 alpha=30.55 beta=30.55 gamma=30.55
With the nearest neighbours (Å) after each atom.
Atoms (fractional coordinates):
Co 0.0000 0.0000 0.0000  6 Co 2.37
Co 0.0889 0.0889 0.5889  6 Co 2.32-2.59, 2 W 2.53
Co 0.0889 0.5889 0.0889  6 Co 2.32-2.59, 2 W 2.53
Co 0.1675 0.1675 0.1675  9 Co 2.59-2.68
Co 0.4111 0.9111 0.9111  6 Co 2.32-2.59, 2 W 2.53
Co 0.5889 0.0889 0.0889  6 Co 2.32-2.59, 2 W 2.53
Co 0.8325 0.8325 0.8325  9 Co 2.59-2.68
Co 0.9111 0.4111 0.9111  6 Co 2.32-2.59, 2 W 2.53
Co 0.9111 0.9111 0.4111  6 Co 2.32-2.59, 2 W 2.53
W 0.3459 0.3459 0.3459  12 Co 2.64-2.84, 4 W 2.66-2.76
W 0.4513 0.4513 0.4513  2 W 2.45-2.66, 6 Co 2.53
W 0.5487 0.5487 0.5487  2 W 2.45-2.66, 6 Co 2.53
W 0.6541 0.6541 0.6541  12 Co 2.64-2.84, 4 W 2.66-2.76

---

(5)
Entry from OQMD: a geometry-optimized RbHoZnTe3 structure (GGA-PBE).

Results
Magnetization   0.002 μB per formula unit
Polymorph energy (0 for the lowest one)   0 meV per atom

Unit cell a=8.5156 b=8.5156 c=11.6423 alpha=90.00 beta=90.00 gamma=150.08
With the nearest neighbours (Å) after each atom.
Atoms (fractional coordinates):
Rb 0.2492 0.7508 0.7500  8 Te 3.75-4.14, 2 Zn 4.16
Rb 0.7508 0.2492 0.2500  8 Te 3.75-4.14, 2 Zn 4.16
Ho 0.5000 0.5000 0.0000  6 Te 3.08-3.10
Ho 0.5000 0.5000 0.5000  6 Te 3.08-3.10
Zn 0.0365 0.9635 0.2500  4 Te 2.66-2.76
Zn 0.9635 0.0365 0.7500  4 Te 2.66-2.76
Te 0.1246 0.8754 0.0588  1 Zn 2.66
Te 0.1246 0.8754 0.4412  1 Zn 2.66
Te 0.4351 0.5649 0.2500  2 Zn 2.76
Te 0.5649 0.4351 0.7500  2 Zn 2.76
Te 0.8754 0.1246 0.5588  1 Zn 2.66
Te 0.8754 0.1246 0.9412  1 Zn 2.66

---

(6)
Entry from OQMD: a geometry-optimized BaSn2HgAu structure (GGA-PBE).

Results
Energy   -3.19 eV per atom

Unit cell a=4.9777 b=4.9777 c=11.7779 alpha=90.00 beta=90.00 gamma=90.00
With the nearest neighbours (Å) after each atom.
Atoms (fractional coordinates):
Ba 0.2500 0.2500 0.2357  4 Au 3.73, 4 Hg 3.78, 9 Sn 3.81-4.08
Ba 0.7500 0.7500 0.7643  4 Au 3.73, 4 Hg 3.78, 9 Sn 3.81-4.08
Sn 0.2500 0.2500 0.8890  4 Au 2.81, 1 Hg 2.86
Sn 0.2500 0.7500 0.5000  4 Hg 3.03
Sn 0.7500 0.2500 0.5000  4 Hg 3.03
Sn 0.7500 0.7500 0.1110  4 Au 2.81, 1 Hg 2.86
Hg 0.2500 0.2500 0.6464  5 Sn 2.86-3.03
Hg 0.7500 0.7500 0.3536  5 Sn 2.86-3.03
Au 0.2500 0.7500 0.0000  4 Sn 2.81
Au 0.7500 0.2500 0.0000  4 Sn 2.81

---

(7)
Entry from OQMD: a geometry-optimized Rb2NpSe3 structure (GGA-PBE).

Results
Energy   -5.22 eV per atom
Magnetization   2.998 μB per formula unit

Unit cell a=8.3789 b=8.3789 c=10.4493 alpha=121.69 beta=121.69 gamma=57.91
With the nearest neighbours (Å) after each atom.
Atoms (fractional coordinates):
Rb 0.0852 0.0852 0.3662  5 Se 3.43-3.64
Rb 0.3058 0.3058 0.1893  3 Se 3.54-3.67
Rb 0.6942 0.6942 0.8107  3 Se 3.54-3.67
Rb 0.9148 0.9148 0.6338  5 Se 3.43-3.64
Np 0.3993 0.3993 0.8458  4 Se 2.62-2.76, 1 Np 2.77
Np 0.6007 0.6007 0.1542  4 Se 2.62-2.76, 1 Np 2.77
Se 0.1941 0.1941 0.7711  1 Np 2.62
Se 0.2055 0.7945 0.0000  2 Np 2.76
Se 0.3828 0.3828 0.5821  1 Np 2.62
Se 0.6172 0.6172 0.4179  1 Np 2.62
Se 0.7945 0.2055 0.0000  2 Np 2.76
Se 0.8059 0.8059 0.2289  1 Np 2.62

---

(8)
Entry from OQMD: a geometry-optimized Cu9Ag structure (GGA-PBE).

Results
Polymorph energy (0 for the lowest one)   4 meV per atom
DFT formation energy   0.04 eV per atom

Unit cell a=6.8858 b=6.8858 c=5.2334 alpha=101.10 beta=101.10 gamma=30.63
With the nearest neighbours (Å) after each atom.
Atoms (fractional coordinates):
Cu 0.0000 0.0000 0.0000  10 Cu 2.59-2.61, 2 Ag 2.62
Cu 0.2000 0.2000 0.0995  12 Cu 2.53-2.62
Cu 0.2037 0.2037 0.6026  11 Cu 2.50-2.62, 1 Ag 2.65
Cu 0.3947 0.3947 0.1887  10 Cu 2.52-2.72, 2 Ag 2.65
Cu 0.3959 0.3959 0.7069  10 Cu 2.50-2.72, 2 Ag 2.64
Cu 0.6041 0.6041 0.2931  10 Cu 2.50-2.72, 2 Ag 2.64
Cu 0.6053 0.6053 0.8113  10 Cu 2.52-2.72, 2 Ag 2.65
Cu 0.7963 0.7963 0.3974  11 Cu 2.50-2.62, 1 Ag 2.65
Cu 0.8000 0.8000 0.9005  12 Cu 2.53-2.62
Ag 0.0000 0.0000 0.5000  12 Cu 2.62-2.65

---

(9)
Entry from OQMD: a geometry-optimized Ho3Mg3TlPd2 structure (GGA-PBE).

Results
Energy   -3.96 eV per atom
Magnetization   0.003 μB per formula unit

Unit cell a=7.3615 b=7.3615 c=4.3706 alpha=90.00 beta=90.00 gamma=120.00
With the nearest neighbours (Å) after each atom.
Atoms (fractional coordinates):
Ho 0.0000 0.4256 0.0000  4 Pd 3.10, 1 Tl 3.13, 2 Mg 3.20
Ho 0.4256 0.0000 0.0000  4 Pd 3.10, 1 Tl 3.13, 2 Mg 3.20
Ho 0.5744 0.5744 0.0000  4 Pd 3.10, 1 Tl 3.13, 2 Mg 3.20
Mg 0.0000 0.7428 0.5000  2 Pd 2.78, 2 Tl 2.89
Mg 0.2572 0.2572 0.5000  2 Pd 2.78, 2 Tl 2.89
Mg 0.7428 0.0000 0.5000  2 Pd 2.78, 2 Tl 2.89
Tl 0.0000 0.0000 0.0000  6 Mg 2.89, 3 Ho 3.13
Pd 0.3333 0.6667 0.5000  3 Mg 2.78, 6 Ho 3.10
Pd 0.6667 0.3333 0.5000  3 Mg 2.78, 6 Ho 3.10

---

(10)
Entry from OQMD: a geometry-optimized Hf2OsAu structure (GGA-PBE).

Results
Magnetization   0.002 μB per formula unit
DFT formation energy   -0.10 eV per atom

Unit cell a=4.6483 b=4.6483 c=4.6483 alpha=60.00 beta=60.00 gamma=60.00
With the nearest neighbours (Å) after each atom.
Atoms (fractional coordinates):
Hf 0.0000 0.0000 0.0000  4 Hf 2.85, 4 Au 2.85
Hf 0.2500 0.2500 0.2500  4 Hf 2.85, 4 Os 2.85
Os 0.5000 0.5000 0.5000  4 Hf 2.85, 4 Au 2.85
Au 0.7500 0.7500 0.7500  4 Hf 2.85, 4 Os 2.85